No. 1
Density functional theory data (PBE) for a geometry-optimized SrCuPd2Br structure.

Cell lengths 5.330, 5.393, 5.330 Å; angles 90.00, 90.00, 90.00 degrees
Sites, in units of the cell vectors:
1 Sr 0.000 0.000 0.000
2 Cu 0.000 0.500 0.000
3 Br 0.500 0.500 0.500
4 Pd 0.000 0.000 0.500
5 Pd 0.500 0.000 0.000

Calculated values
As for the crystal system: tetragonal. As for the energy relative to the elements, uncorrected: 900 meV per atom.

---

No. 2
Density functional theory data (PBE) for a geometry-optimized Si2P structure.

Cell lengths 6.213, 6.213, 5.830 Å; angles 62.18, 62.18, 30.40 degrees
Sites, in units of the cell vectors:
1 Si 0.756 0.756 0.161
2 Si 0.244 0.244 0.839
3 Si 0.902 0.902 0.494
4 Si 0.098 0.098 0.506
5 P 0.593 0.593 0.816
6 P 0.407 0.407 0.184

Calculated values
As for the energy relative to the lowest polymorph listed for this composition: 78 kJ/mol of formula units. As for the crystal system: monoclinic. As for the energy relative to the elements, uncorrected: 273 meV per atom.

---

No. 3
Density functional theory data (PBE) for a geometry-optimized Sr6CuAu2 structure.

Cell lengths 7.237, 7.788, 13.366 Å; angles 89.96, 90.00, 90.00 degrees
Sites, in units of the cell vectors:
1 Sr 0.243 0.168 0.664
2 Sr 0.246 0.168 0.337
3 Sr 0.266 0.165 0.000
4 Sr 0.766 0.335 0.500
5 Sr 0.746 0.332 0.163
6 Sr 0.743 0.332 0.836
7 Sr 0.757 0.832 0.336
8 Sr 0.754 0.832 0.663
9 Sr 0.734 0.835 0.000
10 Sr 0.234 0.665 0.500
11 Sr 0.254 0.668 0.837
12 Sr 0.257 0.668 0.164
13 Cu 0.500 0.500 0.000
14 Cu 0.000 0.000 0.500
15 Au 0.501 0.000 0.175
16 Au 0.001 0.500 0.325
17 Au 0.999 0.500 0.675
18 Au 0.499 0.000 0.825

Calculated values
As for the crystal system: monoclinic. For the formation energy, the calculation gives -36.0 kJ per mole of atoms.

---

No. 4
Density functional theory data (PBE) for a geometry-optimized P2OsPb structure.

Cell lengths 2.979, 2.979, 8.486 Å; angles 90.00, 90.00, 90.00 degrees
Sites, in units of the cell vectors:
1 Os 0.500 0.500 0.750
2 P 0.000 0.000 0.922
3 P 0.000 0.000 0.578
4 Pb 0.500 0.500 0.250

Calculated values
As for the crystal system: tetragonal. For the formation energy, the calculation gives 21.3 kJ per mole of atoms.

---

No. 5
Density functional theory data (PBE) for a geometry-optimized ErAl2Ga6 structure.

Cell lengths 4.046, 6.289, 8.615 Å; angles 100.55, 90.00, 108.76 degrees
Sites, in units of the cell vectors:
1 Er 0.000 0.000 0.500
2 Al 0.801 0.602 0.920
3 Al 0.199 0.398 0.080
4 Ga 0.999 0.998 0.847
5 Ga 0.801 0.602 0.234
6 Ga 0.199 0.398 0.766
7 Ga 0.692 0.385 0.559
8 Ga 0.308 0.615 0.441
9 Ga 0.001 0.002 0.153

Calculated values
As for the crystal system: monoclinic. For the formation energy, the calculation gives 2.2 kJ per mole of atoms.

---

No. 6
Density functional theory data (PBE) for a geometry-optimized Cd2Bi2Pb structure.

Cell lengths 4.984, 4.984, 6.460 Å; angles 80.57, 80.57, 72.37 degrees
Sites, in units of the cell vectors:
1 Cd 0.186 0.686 0.406
2 Cd 0.814 0.314 0.594
3 Bi 0.587 0.087 0.242
4 Bi 0.413 0.913 0.758
5 Pb 0.000 0.500 0.000

Calculated values
As for the energy relative to the lowest polymorph listed for this composition: 0 kJ/mol of formula units. As for the crystal system: monoclinic. For the formation energy, the calculation gives 4.7 kJ per mole of atoms.

---

No. 7
Density functional theory data (PBE) for a geometry-optimized Ta12Mo5Os3 structure.

Cell lengths 13.056, 13.056, 13.056 Å; angles 109.47, 109.47, 109.47 degrees
Sites, in units of the cell vectors:
1 Os 0.750 0.375 0.125
2 Os 0.875 0.750 0.125
3 Os 0.375 0.750 0.625
4 Os 0.250 0.125 0.375
5 Os 0.875 0.125 0.250
6 Os 0.375 0.625 0.250
7 Os 0.625 0.375 0.750
8 Os 0.125 0.875 0.750
9 Os 0.750 0.875 0.625
10 Os 0.625 0.250 0.375
11 Os 0.125 0.250 0.875
12 Os 0.250 0.625 0.875
13 Mo 0.125 0.375 0.250
14 Mo 0.000 0.500 0.000
15 Mo 0.000 0.000 0.000
16 Mo 0.375 0.250 0.125
17 Mo 0.500 0.000 0.500
18 Mo 0.500 0.500 0.000
19 Mo 0.125 0.750 0.375
20 Mo 0.750 0.125 0.875
21 Mo 0.750 0.625 0.375
22 Mo 0.375 0.125 0.750
23 Mo 0.625 0.875 0.250
24 Mo 0.500 0.500 0.500
25 Mo 0.500 0.000 0.000
26 Mo 0.000 0.000 0.500
27 Mo 0.250 0.375 0.625
28 Mo 0.250 0.875 0.125
29 Mo 0.000 0.500 0.500
30 Mo 0.875 0.250 0.625
31 Mo 0.625 0.750 0.875
32 Mo 0.875 0.625 0.750
33 Ta 0.728 0.129 0.062
34 Ta 0.334 0.562 0.433
35 Ta 0.938 0.371 0.272
36 Ta 0.562 0.228 0.129
37 Ta 0.599 0.728 0.666
38 Ta 0.938 0.567 0.166
39 Ta 0.334 0.772 0.401
40 Ta 0.067 0.901 0.129
41 Ta 0.567 0.938 0.666
42 Ta 0.728 0.599 0.166
43 Ta 0.772 0.438 0.371
44 Ta 0.834 0.933 0.062
45 Ta 0.129 0.728 0.562
46 Ta 0.371 0.433 0.099
47 Ta 0.099 0.933 0.371
48 Ta 0.401 0.129 0.567
49 Ta 0.099 0.166 0.228
50 Ta 0.438 0.666 0.067
51 Ta 0.834 0.901 0.272
52 Ta 0.129 0.401 0.067
53 Ta 0.371 0.938 0.772
54 Ta 0.567 0.629 0.401
55 Ta 0.933 0.834 0.562
56 Ta 0.772 0.334 0.901
57 Ta 0.433 0.371 0.599
58 Ta 0.067 0.166 0.438
59 Ta 0.228 0.666 0.099
60 Ta 0.166 0.099 0.728
61 Ta 0.629 0.062 0.228
62 Ta 0.871 0.599 0.933
63 Ta 0.562 0.334 0.933
64 Ta 0.599 0.871 0.433
65 Ta 0.901 0.834 0.772
66 Ta 0.901 0.067 0.629
67 Ta 0.871 0.272 0.438
68 Ta 0.166 0.067 0.938
69 Ta 0.629 0.567 0.901
70 Ta 0.433 0.062 0.334
71 Ta 0.272 0.401 0.834
72 Ta 0.228 0.562 0.629
73 Ta 0.933 0.099 0.871
74 Ta 0.666 0.228 0.599
75 Ta 0.438 0.772 0.871
76 Ta 0.062 0.433 0.834
77 Ta 0.401 0.272 0.334
78 Ta 0.062 0.629 0.728
79 Ta 0.666 0.438 0.567
80 Ta 0.272 0.871 0.938

Calculated values
As for the crystal system: cubic. For the formation energy, the calculation gives 120.0 kJ per mole of atoms.

---

No. 8
Density functional theory data (PBE) for a geometry-optimized FeCu2Si structure.

Cell lengths 4.630, 4.630, 4.505 Å; angles 66.36, 66.36, 32.66 degrees
Site moments in Bohr magnetons follow the coordinates.
Sites, in units of the cell vectors:
1 Cu 0.991 0.991 0.933  0.02
2 Cu 0.747 0.747 0.819  0.01
3 Fe 0.510 0.510 0.414  1.92
4 Si 0.252 0.252 0.334  -0.03

Calculated values
As for the crystal system: monoclinic. As for the energy relative to the elements, uncorrected: -19 meV per atom.

---

No. 9
Density functional theory data (PBE) for a geometry-optimized LaH9Rh2 structure.

Cell lengths 8.187, 6.234, 6.234 Å; angles 64.46, 48.96, 48.96 degrees
Sites, in units of the cell vectors:
1 La 0.500 0.000 0.000
2 La 0.250 0.500 0.500
3 H 0.750 0.500 0.500
4 H 0.000 0.000 0.000
5 H 0.891 0.985 0.709
6 H 0.585 0.015 0.291
7 H 0.626 0.209 0.515
8 H 0.350 0.791 0.485
9 H 0.859 0.791 0.515
10 H 0.165 0.209 0.485
11 H 0.124 0.985 0.291
12 H 0.400 0.015 0.709
13 H 0.859 0.515 0.791
14 H 0.165 0.485 0.209
15 H 0.124 0.291 0.985
16 H 0.400 0.709 0.015
17 H 0.891 0.709 0.985
18 H 0.585 0.291 0.015
19 H 0.626 0.515 0.209
20 H 0.350 0.485 0.791
21 Rh 0.875 0.250 0.750
22 Rh 0.875 0.750 0.250
23 Rh 0.875 0.250 0.250
24 Rh 0.375 0.750 0.750

Calculated values
Its total energy is -4.19 eV per atom. As for the crystal system: tetragonal.

---

No. 10
Density functional theory data (PBE) for a geometry-optimized CsNa2Hg2Br7 structure.

Cell lengths 5.936, 7.005, 11.262 Å; angles 108.12, 105.28, 90.00 degrees
Sites, in units of the cell vectors:
1 Cs 0.000 0.030 0.000
2 Na 0.250 0.780 0.500
3 Na 0.750 0.280 0.500
4 Hg 0.388 0.464 0.777
5 Hg 0.612 0.687 0.223
6 Br 0.390 0.844 0.779
7 Br 0.737 0.695 0.475
8 Br 0.110 0.641 0.220
9 Br 0.610 0.065 0.221
10 Br 0.263 0.221 0.525
11 Br 0.890 0.421 0.780
12 Br 0.500 0.371 0.000

Calculated values
As for the crystal system: orthorhombic. As for the energy relative to the elements, uncorrected: -1031 meV per atom.

---

No. 11
Density functional theory data (PBE) for a geometry-optimized CdHPb3 structure.

Cell lengths 4.994, 4.994, 4.994 Å; angles 90.00, 90.00, 90.00 degrees
Sites, in units of the cell vectors:
1 Pb 0.000 0.500 0.000
2 Pb 0.000 0.000 0.500
3 Pb 0.500 0.000 0.000
4 H 0.000 0.000 0.000
5 Cd 0.500 0.500 0.500

Calculated values
As for the energy relative to the lowest polymorph listed for this composition: 0 kJ/mol of formula units. As for the crystal system: cubic.

---

No. 12
Density functional theory data (PBE) for a geometry-optimized Hg2H2Pt structure.

Cell lengths 3.121, 3.121, 7.291 Å; angles 77.64, 77.64, 90.00 degrees
Sites, in units of the cell vectors:
1 H 0.750 0.250 0.500
2 H 0.250 0.750 0.500
3 Hg 0.363 0.363 0.274
4 Hg 0.637 0.637 0.726
5 Pt 0.000 0.000 0.000

Calculated values
As for the energy relative to the lowest polymorph listed for this composition: 237 kJ/mol of formula units. As for the crystal system: tetragonal.

---

Number 1: calculated volume 153.2 Å³ per cell. Number 2: calculated volume 99.7 Å³ per cell. Number 3: calculated volume 753.3 Å³ per cell. Number 4: calculated volume 75.3 Å³ per cell. Number 5: calculated volume 203.7 Å³ per cell. Number 6: calculated volume 149.7 Å³ per cell. Number 7: calculated volume 1713.2 Å³ per cell. Number 8: calculated volume 47.4 Å³ per cell. Number 9: calculated volume 181.0 Å³ per cell. Number 10: calculated volume 427.6 Å³ per cell. Number 11: calculated volume 124.6 Å³ per cell. Number 12: calculated volume 67.7 Å³ per cell.